First-principles (GGA-PBE) data for a geometry-optimized Mg4NbPt5 structure, as listed in the Alexandria database.

Summary:
Its crystal system is tetragonal. The calculation puts the formation energy at -0.820 eV/atom. The density of states at the Fermi level is 3.8 states/eV/f.u.

```
Mg4NbPt5
1.0
2.958 0.000 0.000
0.000 2.958 0.000
0.000 0.000 18.322
Mg Nb Pt
4 1 5
Direct
0.000 0.000 0.098
0.000 0.000 0.293
0.000 0.000 0.707
0.000 0.000 0.902
0.000 0.000 0.500
0.500 0.500 0.000
0.500 0.500 0.196
0.500 0.500 0.396
0.500 0.500 0.604
0.500 0.500 0.804
```